1.
Material: Th4NpSb5
Method: DFT, PBE
State: relaxed

Cell and atoms, written as CIF:
```
data_Th4NpSb5
_chemical_formula_sum 'Th4 Np1 Sb5'
_space_group_name_H-M_alt 'P 1'
_space_group_IT_number 1
_cell_length_a 6.3471
_cell_length_b 7.7782
_cell_length_c 7.7782
_cell_angle_alpha 80.42
_cell_angle_beta 65.92
_cell_angle_gamma 65.92
loop_
_space_group_symop_operation_xyz
'x,y,z'
loop_
_atom_site_label
_atom_site_type_symbol
_atom_site_fract_x
_atom_site_fract_y
_atom_site_fract_z
Sb1 Sb 0.5011 0.0000 0.0000
Sb2 Sb 0.2969 0.8035 0.6047
Sb3 Sb 0.1004 0.6047 0.1965
Sb4 Sb 0.7051 0.1965 0.3953
Sb5 Sb 0.9016 0.3953 0.8035
Th1 Th 0.4031 0.3985 0.7973
Th2 Th 0.2004 0.2027 0.3985
Th3 Th 0.8016 0.7973 0.6015
Th4 Th 0.5989 0.6015 0.2027
Np1 Np 0.0010 0.0000 0.0000
```

Output
N(E_F) ... 17.6 states/eV/cell
Size of the total moment ... 0.4443 μB per atom
Final energy ... -7.0966 eV/atom
Raw formation energy ... -0.773 eV/atom


2.
Material: TmThNp2Sb4
Method: DFT, PBE
State: relaxed

Cell and atoms, written as CIF:
```
data_TmThNp2Sb4
_chemical_formula_sum 'Tm1 Th1 Np2 Sb4'
_space_group_name_H-M_alt 'P 1'
_space_group_IT_number 1
_cell_length_a 4.4203
_cell_length_b 7.6406
_cell_length_c 7.6652
_cell_angle_alpha 109.45
_cell_angle_beta 90.00
_cell_angle_gamma 90.00
loop_
_space_group_symop_operation_xyz
'x,y,z'
loop_
_atom_site_label
_atom_site_type_symbol
_atom_site_fract_x
_atom_site_fract_y
_atom_site_fract_z
Np1 Np 0.0000 0.5000 0.5000
Np2 Np 0.5000 0.0000 0.5000
Sb1 Sb 0.0000 0.2423 0.7466
Sb2 Sb 0.0000 0.7577 0.2534
Sb3 Sb 0.5000 0.7563 0.7509
Sb4 Sb 0.5000 0.2437 0.2491
Th1 Th 0.5000 0.5000 0.0000
Tm1 Tm 0.0000 0.0000 0.0000
```

Output
N(E_F) ... 23.4 states/eV/cell
Size of the total moment ... 1.0356 μB per atom
Final energy ... -7.3793 eV/atom
Raw formation energy ... -0.597 eV/atom


3.
Material: Np3TiSb5
Method: DFT, PBE
State: relaxed

Cell and atoms, written as CIF:
```
data_Np3TiSb5
_chemical_formula_sum 'Np6 Ti2 Sb10'
_space_group_name_H-M_alt 'P 1'
_space_group_IT_number 1
_cell_length_a 6.1116
_cell_length_b 9.1548
_cell_length_c 9.1548
_cell_angle_alpha 120.00
_cell_angle_beta 90.00
_cell_angle_gamma 90.00
loop_
_space_group_symop_operation_xyz
'x,y,z'
loop_
_atom_site_label
_atom_site_type_symbol
_atom_site_fract_x
_atom_site_fract_y
_atom_site_fract_z
Sb1 Sb 0.5000 0.6667 0.3333
Sb2 Sb 0.2500 0.7398 0.7398
Sb3 Sb 0.7500 0.7398 0.0000
Sb4 Sb 0.2500 0.2602 0.0000
Sb5 Sb 0.0000 0.6667 0.3333
Sb6 Sb 0.5000 0.3333 0.6667
Sb7 Sb 0.2500 0.0000 0.2602
Sb8 Sb 0.7500 0.0000 0.7398
Sb9 Sb 0.7500 0.2602 0.2602
Sb10 Sb 0.0000 0.3333 0.6667
Ti1 Ti 0.0000 0.0000 0.0000
Ti2 Ti 0.5000 0.0000 0.0000
Np1 Np 0.7500 0.3881 0.0000
Np2 Np 0.2500 0.3881 0.3881
Np3 Np 0.7500 0.6119 0.6119
Np4 Np 0.2500 0.6119 0.0000
Np5 Np 0.7500 0.0000 0.3881
Np6 Np 0.2500 0.0000 0.6119
```

Output
N(E_F) ... 53.1 states/eV/cell
Size of the total moment ... 1.3146 μB per atom
Final energy ... -7.8704 eV/atom
Raw formation energy ... -0.389 eV/atom